(1)
Material: TlSbRh2
Method: DFT, PBEsol
State: optimized geometry

**Fermi-level density of states**: 12.5 states/eV/cell
**E above lowest polymorph**: 0.348 eV per atom
**Total magnetic moment**: 0.00 μB per cell
**Crystal system**: cubic
**Total energy**: -5.573 eV/atom

Cell: 6.593 6.593 6.593 Å, 90.00 90.00 90.00°
Fractional positions:
Tl (0.000, 0.000, 0.000)
Tl (0.000, 0.500, 0.500)
Tl (0.500, 0.000, 0.500)
Tl (0.500, 0.500, 0.000)
Sb (0.250, 0.250, 0.750)
Sb (0.250, 0.750, 0.250)
Sb (0.750, 0.250, 0.250)
Sb (0.750, 0.750, 0.750)
Rh (0.000, 0.000, 0.500)
Rh (0.000, 0.500, 0.000)
Rh (0.250, 0.250, 0.250)
Rh (0.250, 0.750, 0.750)
Rh (0.500, 0.000, 0.000)
Rh (0.500, 0.500, 0.500)
Rh (0.750, 0.250, 0.750)
Rh (0.750, 0.750, 0.250)

---

(2)
Material: TlSbRh3
Method: DFT, PBEsol
State: optimized geometry

**Fermi-level density of states**: 7.8 states/eV/cell
**Total magnetic moment**: 1.71 μB per cell
**Crystal system**: cubic
**Total energy**: -4.829 eV/atom

Cell: 4.858 4.858 4.858 Å, 90.00 90.00 90.00°
Fractional positions:
Tl (0.000, 0.000, 0.000)
Sb (0.500, 0.500, 0.500)
Rh (0.000, 0.000, 0.500)
Rh (0.000, 0.500, 0.000)
Rh (0.500, 0.000, 0.000)

---

(3)
Material: Tl2SbRh
Method: DFT, PBEsol
State: optimized geometry

**Fermi-level density of states**: 11.1 states/eV/cell
**E above lowest polymorph**: 0.091 eV per atom
**Total magnetic moment**: 0.00 μB per cell
**Crystal system**: cubic
**Total energy**: -4.087 eV/atom

Cell: 7.056 7.056 7.056 Å, 90.00 90.00 90.00°
Fractional positions:
Tl (0.250, 0.250, 0.250)
Tl (0.250, 0.250, 0.750)
Tl (0.250, 0.750, 0.250)
Tl (0.250, 0.750, 0.750)
Tl (0.750, 0.250, 0.250)
Tl (0.750, 0.250, 0.750)
Tl (0.750, 0.750, 0.250)
Tl (0.750, 0.750, 0.750)
Sb (0.000, 0.000, 0.000)
Sb (0.000, 0.500, 0.500)
Sb (0.500, 0.000, 0.500)
Sb (0.500, 0.500, 0.000)
Rh (0.000, 0.000, 0.500)
Rh (0.000, 0.500, 0.000)
Rh (0.500, 0.000, 0.000)
Rh (0.500, 0.500, 0.500)

---

(4)
Material: TmSbRh
Method: DFT, PBEsol
State: optimized geometry

**Fermi-level density of states**: 5.8 states/eV/cell
**Total magnetic moment**: 0.00 μB per cell
**Crystal system**: orthorhombic
**Total energy**: -6.877 eV/atom

Cell: 6.959 4.498 7.683 Å, 90.00 90.00 90.00°
Fractional positions:
Tm (0.009, 0.250, 0.201)
Tm (0.491, 0.750, 0.701)
Tm (0.509, 0.250, 0.299)
Tm (0.991, 0.750, 0.799)
Sb (0.194, 0.250, 0.591)
Sb (0.306, 0.750, 0.091)
Sb (0.694, 0.250, 0.909)
Sb (0.806, 0.750, 0.409)
Rh (0.200, 0.750, 0.419)
Rh (0.300, 0.250, 0.919)
Rh (0.700, 0.750, 0.081)
Rh (0.800, 0.250, 0.581)

---

(5)
Material: U3Sb4Rh3
Method: DFT, PBEsol
State: optimized geometry

**Fermi-level density of states**: 35.9 states/eV/cell
**Total magnetic moment**: 6.08 μB per cell
**Crystal system**: cubic
**Total energy**: -8.386 eV/atom

Cell: 8.169 8.169 8.169 Å, 109.47 109.47 109.47°
Fractional positions:
U (0.125, 0.875, 0.250)
U (0.250, 0.125, 0.875)
U (0.375, 0.625, 0.750)
U (0.625, 0.750, 0.375)
U (0.750, 0.375, 0.625)
U (0.875, 0.250, 0.125)
Sb (0.000, 0.176, 0.500)
Sb (0.000, 0.676, 0.500)
Sb (0.176, 0.500, 0.000)
Sb (0.324, 0.324, 0.324)
Sb (0.500, 0.000, 0.176)
Sb (0.500, 0.000, 0.676)
Sb (0.676, 0.500, 0.000)
Sb (0.824, 0.824, 0.824)
Rh (0.125, 0.750, 0.875)
Rh (0.250, 0.625, 0.375)
Rh (0.375, 0.250, 0.625)
Rh (0.625, 0.375, 0.250)
Rh (0.750, 0.875, 0.125)
Rh (0.875, 0.125, 0.750)

---

(6)
Material: SbRhW
Method: DFT, PBEsol
State: optimized geometry

**Fermi-level density of states**: 4.6 states/eV/cell
**E above lowest polymorph**: 0.086 eV per atom
**Total magnetic moment**: 0.03 μB per cell
**Crystal system**: hexagonal
**Total energy**: -8.500 eV/atom

Cell: 4.448 4.448 2.876 Å, 90.00 90.00 120.00°
Fractional positions:
Sb (0.000, 0.000, 0.000)
Rh (0.667, 0.333, 0.000)
W (0.333, 0.667, 0.500)

---

(7)
Material: SbRh3W
Method: DFT, PBEsol
State: optimized geometry

**Fermi-level density of states**: 3.6 states/eV/cell
**Total magnetic moment**: 0.00 μB per cell
**Crystal system**: cubic
**Total energy**: -7.488 eV/atom

Cell: 4.661 4.661 4.661 Å, 90.00 90.00 90.00°
Fractional positions:
Sb (0.000, 0.000, 0.000)
Rh (0.000, 0.500, 0.500)
Rh (0.500, 0.000, 0.500)
Rh (0.500, 0.500, 0.000)
W (0.500, 0.500, 0.500)

---

(8)
Material: SbRhW
Method: DFT, PBEsol
State: optimized geometry

**Fermi-level density of states**: 1.6 states/eV/cell
**E above lowest polymorph**: 0.000 eV per atom
**Total magnetic moment**: 0.00 μB per cell
**Crystal system**: trigonal
**Total energy**: -8.586 eV/atom

Cell: 2.975 2.975 6.589 Å, 90.00 90.00 120.00°
Fractional positions:
Sb (0.000, 0.000, 0.000)
Rh (0.667, 0.333, 0.338)
W (0.333, 0.667, 0.643)

---

(9)
Material: YSb2Rh
Method: DFT, PBEsol
State: optimized geometry

**Fermi-level density of states**: 22.7 states/eV/cell
**Total magnetic moment**: 0.00 μB per cell
**Crystal system**: cubic
**Total energy**: -6.405 eV/atom

Cell: 6.981 6.981 6.981 Å, 90.00 90.00 90.00°
Fractional positions:
Y (0.000, 0.000, 0.000)
Y (0.000, 0.500, 0.500)
Y (0.500, 0.000, 0.500)
Y (0.500, 0.500, 0.000)
Sb (0.250, 0.250, 0.250)
Sb (0.250, 0.250, 0.750)
Sb (0.250, 0.750, 0.250)
Sb (0.250, 0.750, 0.750)
Sb (0.750, 0.250, 0.250)
Sb (0.750, 0.250, 0.750)
Sb (0.750, 0.750, 0.250)
Sb (0.750, 0.750, 0.750)
Rh (0.000, 0.000, 0.500)
Rh (0.000, 0.500, 0.000)
Rh (0.500, 0.000, 0.000)
Rh (0.500, 0.500, 0.500)

---

(10)
Material: Y2SbRh
Method: DFT, PBEsol
State: optimized geometry

**Fermi-level density of states**: 0.4 states/eV/cell
**Total magnetic moment**: 0.00 μB per cell
**Crystal system**: tetragonal
**Total energy**: -7.244 eV/atom

Cell: 4.096 4.096 6.073 Å, 90.00 90.00 90.00°
Fractional positions:
Y (0.000, 0.000, 0.000)
Y (0.500, 0.500, 0.374)
Sb (0.500, 0.500, 0.869)
Rh (0.000, 0.000, 0.435)

---

(11)
Material: Y2SbRh
Method: DFT, PBEsol
State: optimized geometry

**Fermi-level density of states**: 4.1 states/eV/cell
**Total magnetic moment**: 0.00 μB per cell
**Crystal system**: orthorhombic
**Total energy**: -7.517 eV/atom

Cell: 4.261 4.006 10.964 Å, 90.00 90.00 90.00°
Fractional positions:
Y (0.000, 0.000, 0.000)
Y (0.000, 0.500, 0.500)
Y (0.500, 0.000, 0.291)
Y (0.500, 0.500, 0.791)
Sb (0.000, 0.000, 0.715)
Sb (0.000, 0.500, 0.215)
Rh (0.500, 0.000, 0.550)
Rh (0.500, 0.500, 0.050)

---

(12)
Material: YSb2Rh
Method: DFT, PBEsol
State: optimized geometry

**Fermi-level density of states**: 7.4 states/eV/cell
**Total magnetic moment**: 0.00 μB per cell
**Crystal system**: orthorhombic
**Total energy**: -6.485 eV/atom

Cell: 4.354 5.424 7.303 Å, 90.00 90.00 90.00°
Fractional positions:
Y (0.000, 0.000, 0.000)
Y (0.500, 0.500, 0.000)
Sb (0.000, 0.500, 0.287)
Sb (0.000, 0.500, 0.713)
Sb (0.500, 0.000, 0.287)
Sb (0.500, 0.000, 0.713)
Rh (0.000, 0.000, 0.500)
Rh (0.500, 0.500, 0.500)

---

Formation energy (no corrections), respectively: 0.293 1.492 0.402 -1.012 -0.474 0.334 1.068 0.248 -0.386 -0.659 -0.932 -0.466 eV/atom.